(1)
Entry from Alexandria: a geometry-optimized Pm2Nd5Ho structure (PBE).

Output
Space-group type: C2/c
Polymorph energy (0 for the lowest one): 0.197 eV/atom
Crystal system: monoclinic

Cell and atoms, written as CIF:
```
data_Pm2Nd5Ho
_chemical_formula_sum 'Pm4 Nd10 Ho2'
_space_group_name_H-M_alt 'P 1'
_space_group_IT_number 1
_cell_length_a 16.498
_cell_length_b 16.498
_cell_length_c 10.585
_cell_angle_alpha 60.84
_cell_angle_beta 60.84
_cell_angle_gamma 119.96
loop_
_space_group_symop_operation_xyz
'x,y,z'
loop_
_atom_site_label
_atom_site_fract_x
_atom_site_fract_y
_atom_site_fract_z
Nd1 0.680 0.399 0.009
Ho1 0.762 0.238 0.250
Nd2 0.043 0.926 0.527
Nd3 0.601 0.320 0.491
Nd4 0.346 0.654 0.250
Pm1 0.500 0.500 0.000
Nd5 0.320 0.601 0.991
Nd6 0.399 0.680 0.509
Ho2 0.238 0.762 0.750
Pm2 0.000 0.500 0.500
Pm3 0.500 0.000 0.000
Nd7 0.074 0.957 0.973
Nd8 0.654 0.346 0.750
Nd9 0.926 0.043 0.027
Nd10 0.957 0.074 0.473
Pm4 0.500 0.500 0.500
```

(2)
Entry from Alexandria: a geometry-optimized BaLiY structure (PBE).

Output
Space-group type: I4mm
Polymorph energy (0 for the lowest one): 0.023 eV/atom
Crystal system: tetragonal

Cell and atoms, written as CIF:
```
data_BaLiY
_chemical_formula_sum 'Ba1 Li1 Y1'
_space_group_name_H-M_alt 'P 1'
_space_group_IT_number 1
_cell_length_a 7.425
_cell_length_b 7.425
_cell_length_c 3.974
_cell_angle_alpha 74.49
_cell_angle_beta 74.47
_cell_angle_gamma 31.04
loop_
_space_group_symop_operation_xyz
'x,y,z'
loop_
_atom_site_label
_atom_site_fract_x
_atom_site_fract_y
_atom_site_fract_z
Y1 0.302 0.302 0.698
Li1 0.684 0.684 0.316
Ba1 0.014 0.014 0.986
```

(3)
Entry from Alexandria: a geometry-optimized SmHo2Er8 structure (PBE).

Output
Space-group type: C2/m
Crystal system: monoclinic

Cell and atoms, written as CIF:
```
data_SmHo2Er8
_chemical_formula_sum 'Sm1 Ho2 Er8'
_space_group_name_H-M_alt 'P 1'
_space_group_IT_number 1
_cell_length_a 5.394
_cell_length_b 8.279
_cell_length_c 9.025
_cell_angle_alpha 115.13
_cell_angle_beta 107.39
_cell_angle_gamma 90.00
loop_
_space_group_symop_operation_xyz
'x,y,z'
loop_
_atom_site_label
_atom_site_fract_x
_atom_site_fract_y
_atom_site_fract_z
Sm1 0.500 0.000 0.000
Er1 0.382 0.557 0.763
Ho1 0.798 0.341 0.596
Er2 0.018 0.722 0.036
Er3 0.982 0.278 0.964
Er4 0.841 0.803 0.681
Ho2 0.202 0.659 0.404
Er5 0.334 0.107 0.668
Er6 0.159 0.197 0.319
Er7 0.666 0.893 0.332
Er8 0.618 0.443 0.237
```

Number 1: energy of formation from the pure elements 0.21 eV/atom, density of states at the Fermi level 11.286 states/eV/f.u., total DFT energy (no corrections) -4.5278 eV per atom. Number 2: energy of formation from the pure elements 0.20 eV/atom, density of states at the Fermi level 4.539 states/eV/f.u., total DFT energy (no corrections) -3.2305 eV per atom. Number 3: energy of formation from the pure elements 0.10 eV/atom, density of states at the Fermi level 18.318 states/eV/f.u., total DFT energy (no corrections) -4.4780 eV per atom.